## AcSmPu2Se4 (PBE)

Data for a relaxed structure of AcSmPu2Se4.

Geometry as POSCAR:
```
AcSmPu2Se4
1.0
4.226 0.000 0.000
0.000 7.363 -0.165
0.000 2.575 6.871
Pu Sm Ac Se
2 1 1 4
direct
0.000 0.000 0.000
0.500 0.000 0.500
0.000 0.500 0.500
0.500 0.500 0.000
0.000 0.234 0.264
0.500 0.241 0.744
0.000 0.766 0.736
0.500 0.759 0.256
```

Values from the calculation:
space-group type = P2/m
E_form (uncorrected) = -1.68 eV per atom

=====

## SbRuPt2 (PBE)

Data for a relaxed structure of SbRuPt2.

Geometry as POSCAR:
```
SbRuPt2
1.0
-2.090 0.912 -2.058
-2.094 0.244 2.235
1.914 6.770 1.055
Pt Sb Ru
2 1 1
direct
0.000 0.000 0.004
0.500 0.500 0.258
0.500 0.500 0.739
0.000 0.000 0.498
```

Values from the calculation:
space-group type = P4mm
E_form (uncorrected) = 0.14 eV per atom

=====

## PmSm5Ho (PBE)

Data for a relaxed structure of PmSm5Ho.

Geometry as POSCAR:
```
PmSm5Ho
1.0
-2.393 4.195 -3.949
-5.509 -5.331 -2.323
0.330 2.473 7.354
Sm Pm Ho
5 1 1
direct
0.684 0.748 0.496
0.188 0.252 0.504
0.432 0.820 0.000
0.168 0.500 0.000
0.432 0.180 0.000
0.930 0.000 0.000
0.696 0.500 0.000
```

Values from the calculation:
space-group type = Imm2
DFT formation energy = 0.882 eV/atom